(1)
{
  "formula": "CuH2PdPt",
  "functional": "PBE-GGA",
  "state": "relaxed",
  "energy_ev_per_atom": -4.4435,
  "n_ef_per_ev_cell": 0.92,
  "space_group": "I4mm, No. 107",
  "volume_a3_per_atom": 10.03,
  "lattice": [[-1.5197, 1.5197, 5.4288], [1.5197, -1.5197, 5.4288], [1.5197, 1.5197, -5.4288]],
  "species": ["Cu", "H", "H", "Pd", "Pt"],
  "frac_coords": [[0.0000, 0.0000, 0.0000], [0.2420, 0.7420, 0.5000], [0.7420, 0.2420, 0.5000], [0.3568, 0.3568, 0.0000], [0.6445, 0.6445, 0.0000]]
}

=====

(2)
{
  "formula": "Rb3AuBr2",
  "functional": "PBE-GGA",
  "state": "relaxed",
  "energy_ev_per_atom": -2.8387,
  "n_ef_per_ev_cell": 0.00,
  "space_group": "I4/mmm, No. 139",
  "formation_energy_uncorrected_mev_per_atom": -1251,
  "volume_a3_per_atom": 43.63,
  "lattice": [[-2.4881, 2.4881, 10.5713], [2.4881, -2.4881, 10.5713], [2.4881, 2.4881, -10.5713]],
  "species": ["Rb", "Rb", "Rb", "Au", "Br", "Br"],
  "frac_coords": [[0.0000, 0.0000, 0.0000], [0.3319, 0.3319, 0.0000], [0.6681, 0.6681, 0.0000], [0.5000, 0.5000, 0.0000], [0.1668, 0.1668, 0.0000], [0.8332, 0.8332, 0.0000]]
}

=====

(3)
{
  "formula": "CsKInBrCl",
  "functional": "PBE-GGA",
  "state": "relaxed",
  "energy_ev_per_atom": -2.8318,
  "n_ef_per_ev_cell": 1.51,
  "space_group": "P1, No. 1",
  "formation_energy_uncorrected_mev_per_atom": -1190,
  "volume_a3_per_atom": 44.56,
  "lattice": [[4.4549, 0.0000, 0.0000], [0.0004, 4.4695, 0.0000], [1.7089, 2.1941, 11.1904]],
  "species": ["Cs", "K", "In", "Br", "Cl"],
  "frac_coords": [[0.0000, 0.0000, 0.0000], [0.7698, 0.7120, 0.5864], [0.3625, 0.3283, 0.3520], [0.2338, 0.1645, 0.6833], [0.4623, 0.4520, 0.0978]]
}

=====

(4)
{
  "formula": "VPb2Se2",
  "functional": "PBE-GGA",
  "state": "relaxed",
  "energy_ev_per_atom": -4.8498,
  "n_ef_per_ev_cell": 9.06,
  "space_group": "P4/mbm, No. 127",
  "formation_energy_uncorrected_mev_per_atom": -149,
  "volume_a3_per_atom": 25.38,
  "lattice": [[6.9657, 0.0000, 0.0000], [0.0000, 6.9657, 0.0000], [0.0000, 0.0000, 5.2306]],
  "species": ["V", "V", "Pb", "Pb", "Pb", "Pb", "Se", "Se", "Se", "Se"],
  "frac_coords": [[0.0000, 0.0000, 0.0000], [0.5000, 0.5000, 0.0000], [0.1730, 0.3270, 0.5000], [0.3270, 0.8270, 0.5000], [0.6730, 0.1730, 0.5000], [0.8270, 0.6730, 0.5000], [0.1750, 0.6750, 0.0000], [0.3250, 0.1750, 0.0000], [0.6750, 0.8250, 0.0000], [0.8250, 0.3250, 0.0000]]
}